Record 1
LaTmTlPt | PBE | optimized geometry

Lattice parameters (Å, degrees): 7.439 7.439 7.439 90.00 90.00 90.00
Space group F-43m (No. 216)
Unique sites:
La (0.000, 0.000, 0.000) (multiplicity 4)
Tm (0.000, 0.000, 0.500) (multiplicity 4)
Tl (0.250, 0.250, 0.250) (multiplicity 4)
Pt (0.250, 0.250, 0.750) (multiplicity 4)

DOS(E_F) (states/eV/f.u.): 4.81
Energy of formation from the pure elements (eV/atom): -0.640
Magnetization (Bohr magnetons per cell): 0.00
Crystal system: cubic
Calculated volume (Å³ per cell): 412



Record 2
LaYTlPt | PBE | optimized geometry

Lattice parameters (Å, degrees): 7.488 7.488 7.488 90.00 90.00 90.00
Space group F-43m (No. 216)
Unique sites:
La (0.000, 0.000, 0.000) (multiplicity 4)
Y (0.000, 0.000, 0.500) (multiplicity 4)
Tl (0.250, 0.250, 0.250) (multiplicity 4)
Pt (0.250, 0.250, 0.750) (multiplicity 4)

DOS(E_F) (states/eV/f.u.): 4.37
Energy of formation from the pure elements (eV/atom): -0.646
Magnetization (Bohr magnetons per cell): 0.00
Crystal system: cubic
Calculated volume (Å³ per cell): 420